[1]
A relaxed structure of La2Pr5Tm2. Source: Alexandria, functional PBE.

Cell lengths 11.5886, 5.2037, 11.0148 Å; angles 90.00, 108.33, 90.00 degrees
Last column: nearest neighbours and their distance in Å.
Space group C2/m (No. 12)
Inequivalent atoms, fractional coordinates:
La: 0.0023 0.0000 0.1703 x4  8 Pr 3.64-3.71, 3 Tm 3.64-3.67, 1 La 3.74
Pr: 0.0000 0.0000 0.5000 x2  2 La 3.64, 6 Pr 3.65-3.68, 4 Tm 3.67
Pr: 0.1679 0.5000 0.0551 x4  4 Pr 3.65-3.69, 3 Tm 3.67-3.68, 5 La 3.68-3.71
Pr: 0.1684 0.5000 0.3901 x4  6 Pr 3.65-3.69, 4 Tm 3.66-3.68, 2 La 3.66
Tm: 0.1664 0.5000 0.7216 x4  3 La 3.64-3.67, 9 Pr 3.66-3.68

Calculated values
As for the density of states at the Fermi level: 14.620 states/eV/f.u. The formation energy is 0.018 eV/atom. The calculation puts the energy above the lowest structure with this stoichiometry at 0 meV per atom. Its calculated volume is 315.26 Å³/f.u. The calculation puts the calculated density at 7.0 g/cm³.

---

[2]
A relaxed structure of La3Pr2Tm7. Source: Alexandria, functional PBE.

Cell lengths 6.3672, 3.5549, 17.6490 Å; angles 90.00, 96.56, 90.00 degrees
Last column: nearest neighbours and their distance in Å.
Space group P2/m (No. 10)
Inequivalent atoms, fractional coordinates:
La: 0.0000 0.0000 0.0000 x1  10 Tm 3.54-3.65, 2 La 3.55
La: 0.0434 0.5000 0.6603 x2  2 La 3.55, 7 Tm 3.63-3.74, 4 Pr 3.64-3.67
Pr: 0.4497 0.0000 0.3247 x2  5 Tm 3.46-3.52, 2 Pr 3.55, 4 La 3.64-3.67
Tm: 0.2273 0.5000 0.1629 x2  2 Pr 3.52, 7 Tm 3.52-3.67, 3 La 3.55-3.73
Tm: 0.2463 0.0000 0.4981 x2  2 Tm 3.15-3.22, 2 Pr 3.46-3.48
Tm: 0.2769 0.0000 0.8368 x2  1 Pr 3.51, 8 Tm 3.54-3.67, 3 La 3.54-3.74
Tm: 0.5000 0.5000 0.0000 x1  8 Tm 3.52-3.55, 4 La 3.65

Calculated values
As for the density of states at the Fermi level: 17.723 states/eV/f.u. The formation energy is 0.097 eV/atom. Its calculated volume is 396.87 Å³/f.u. The calculation puts the calculated density at 7.9 g/cm³.

---

[3]
A relaxed structure of LaPr2Tm5. Source: Alexandria, functional PBE.

Cell lengths 7.2040, 7.2040, 9.9339 Å; angles 90.00, 90.00, 90.00 degrees
Last column: nearest neighbours and their distance in Å.
Space group I4mm (No. 107)
Inequivalent atoms, fractional coordinates:
La: 0.0000 0.0000 0.0000 x2  8 Tm 3.56, 4 Pr 3.60
Pr: 0.0000 0.5000 0.9996 x4  10 Tm 3.56-3.60, 2 La 3.60
Tm: 0.0000 0.0000 0.4994 x2  8 Tm 3.56, 4 Pr 3.60
Tm: 0.2502 0.2502 0.2497 x8  6 Tm 3.56-3.60, 4 Pr 3.56, 2 La 3.56

Calculated values
As for the density of states at the Fermi level: 10.101 states/eV/f.u. The formation energy is 0.022 eV/atom. The calculation puts the energy above the lowest structure with this stoichiometry at 0 meV per atom. Its calculated volume is 257.77 Å³/f.u. The calculation puts the calculated density at 8.2 g/cm³.